# 1
Cs2ScTl2Br6 | PBE | relaxed

Calculated values
space group	C2/m
raw total energy	-3.399	eV per atom

Cell: 8.544 8.544 7.807 Å, 100.57 100.57 117.74°
Each line ends with the local moment (μB).
Fractional coordinates of all 11 atoms:
Cs (0.661, 0.339, 0.500)  0.00
Cs (0.339, 0.661, 0.500)  0.00
Sc (0.000, 0.000, 0.500)  0.46
Br (0.331, 0.069, 0.718)  0.00
Br (0.825, 0.825, 0.734)  0.00
Br (0.669, 0.931, 0.282)  0.00
Br (0.931, 0.669, 0.282)  0.00
Br (0.069, 0.331, 0.718)  0.00
Br (0.175, 0.175, 0.266)  0.00
Tl (0.170, 0.830, 0.000)  0.03
Tl (0.830, 0.170, 0.000)  0.03

# 2
YPu3Sc2Se6 | PBE | relaxed

Calculated values
space group	C2/m
raw total energy	-8.518	eV per atom

Cell: 4.033 8.100 9.042 Å, 102.81 102.89 90.00°
Each line ends with the local moment (μB).
Fractional coordinates of all 12 atoms:
Sc (0.168, 0.338, 0.335)  0.01
Sc (0.832, 0.662, 0.665)  0.01
Se (0.329, 0.426, 0.658)  -0.01
Se (0.006, 0.251, 0.013)  0.02
Se (0.333, 0.903, 0.665)  -0.05
Se (0.667, 0.097, 0.335)  -0.05
Se (0.671, 0.574, 0.342)  -0.01
Se (0.994, 0.749, 0.987)  0.02
Pu (0.500, 0.500, 0.000)  -5.37
Pu (0.835, 0.167, 0.670)  5.43
Pu (0.165, 0.833, 0.330)  5.43
Y (0.500, 0.000, 0.000)  0.01

# 3
Sr2RuBr | PBE | relaxed

Calculated values
space group	Pmm2
polymorph energy (0 for the lowest one)	0.157	eV/atom

Cell: 6.149 3.840 4.982 Å, 90.00 90.00 90.00°
Each line ends with the local moment (μB).
Fractional coordinates of all 4 atoms:
Br (0.000, 0.374, 0.375)  -0.01
Ru (0.500, 0.876, 0.875)  0.82
Sr (0.500, 0.376, 0.375)  -0.02
Sr (0.000, 0.874, 0.875)  -0.02

# 4
SrCd8Pt2 | PBE | relaxed

Calculated values
space group	P4/mmm
energy of formation from the pure elements	-33	meV per atom

Cell: 6.153 6.153 8.973 Å, 90.00 90.00 90.00°
Fractional coordinates of all 11 atoms:
Sr (0.500, 0.500, 0.500)
Cd (0.249, 0.751, 0.193)
Cd (0.751, 0.751, 0.193)
Cd (0.751, 0.751, 0.807)
Cd (0.249, 0.249, 0.193)
Cd (0.751, 0.249, 0.807)
Cd (0.249, 0.249, 0.807)
Cd (0.249, 0.751, 0.807)
Cd (0.751, 0.249, 0.193)
Pt (0.500, 0.000, 0.000)
Pt (0.000, 0.500, 0.000)

# 5
TaInRuCl2 | PBE | relaxed

Calculated values
space group	P4/mmm
raw total energy	-4.759	eV per atom

Cell: 4.592 5.883 4.592 Å, 90.00 90.00 90.00°
Each line ends with the local moment (μB).
Fractional coordinates of all 5 atoms:
In (0.000, 0.500, 0.000)  -0.03
Cl (0.500, 0.000, 0.000)  0.01
Cl (0.000, 0.000, 0.500)  0.00
Ru (0.500, 0.500, 0.500)  2.53
Ta (0.000, 0.000, 0.000)  0.27

# 6
CePm5Rh4 | PBE | relaxed

Calculated values
space group	C2/m
energy of formation from the pure elements	-565	meV per atom

Cell: 4.135 7.863 9.069 Å, 105.57 103.18 90.00°
Fractional coordinates of all 10 atoms:
Pm (0.166, 0.348, 0.332)
Pm (0.167, 0.856, 0.335)
Pm (0.833, 0.144, 0.665)
Pm (0.500, 0.500, 0.000)
Pm (0.834, 0.652, 0.668)
Rh (0.999, 0.753, 0.998)
Rh (0.667, 0.110, 0.335)
Rh (0.001, 0.247, 0.002)
Rh (0.333, 0.890, 0.665)
Ce (0.500, 0.000, 0.000)

# 7
LiTcAs2 | PBE | relaxed

Calculated values
space group	R3m
polymorph energy (0 for the lowest one)	0.043	eV/atom
energy of formation from the pure elements	-302	meV per atom

Cell: 3.161 3.161 7.971 Å, 78.56 78.56 60.00°
Fractional coordinates of all 4 atoms:
As (0.075, 0.075, 0.775)
As (0.256, 0.256, 0.231)
Li (0.503, 0.503, 0.490)
Tc (0.665, 0.665, 0.004)

# 8
Sm4As2PAu | PBE | relaxed

Calculated values
space group	P2/m
energy of formation from the pure elements	-1287	meV per atom

Cell: 4.186 7.234 7.340 Å, 71.05 90.00 90.00°
Fractional coordinates of all 8 atoms:
Sm (0.500, 0.750, 0.262)
Sm (0.000, 0.242, 0.265)
Sm (0.500, 0.250, 0.738)
Sm (0.000, 0.758, 0.735)
As (0.500, 0.000, 0.500)
As (0.000, 0.000, 0.000)
P (0.000, 0.500, 0.500)
Au (0.500, 0.500, 0.000)